This record from the Alexandria database describes a PBEsol-optimized structure of IrAuN2F. The functional is meta-GGA SCAN.

Summary:
Calculated total energy   -158.25 eV/cell
N(E_F)   2.42 states/eV per cell
Raw formation energy   0.82 eV/atom
Space-group type   P4/mmm
Relative energy among the computed polymorphs   0.000 eV per atom

a b c (Å): 3.7746 3.7746 4.4596
angles (deg): 90.00 90.00 90.00
Last column: nearest neighbours and their distance in Å.
Positions (direct):
N  0.0000  0.5000  0.0000  2 Ir 1.89
N  0.5000  0.0000  0.0000  2 Ir 1.89
Ir  0.0000  0.0000  0.0000  4 N 1.89
Au  0.5000  0.5000  0.5000  4 F 2.67, 8 N 2.92
F  0.0000  0.0000  0.5000  2 Ir 2.23

---

This record from the Alexandria database describes a PBEsol-optimized structure of Si2IrAuF. The functional is meta-GGA SCAN.

Summary:
Calculated total energy   -163.64 eV/cell
N(E_F)   3.39 states/eV per cell
Raw formation energy   0.04 eV/atom
Space-group type   P4/mmm

a b c (Å): 4.4734 4.4734 5.1404
angles (deg): 90.00 90.00 90.00
Last column: nearest neighbours and their distance in Å.
Positions (direct):
Si  0.0000  0.5000  0.0000  2 Ir 2.24
Si  0.5000  0.0000  0.0000  2 Ir 2.24
Ir  0.0000  0.0000  0.0000  4 Si 2.24
Au  0.0000  0.0000  0.5000  2 Ir 2.57
F  0.5000  0.5000  0.5000  4 Au 3.16, 8 Si 3.41

---

This record from the Alexandria database describes a PBEsol-optimized structure of KAuF2. The functional is meta-GGA SCAN.

Summary:
Calculated total energy   -90.14 eV/cell
N(E_F)   0.07 states/eV per cell
Raw formation energy   -1.39 eV/atom
Space-group type   Fm-3m
Relative energy among the computed polymorphs   0.410 eV per atom

a b c (Å): 4.3800 4.3800 4.3800
angles (deg): 60.00 60.00 60.00
Last column: nearest neighbours and their distance in Å.
Positions (direct):
K  0.0000  0.0000  0.0000  8 F 2.68
Au  0.5000  0.5000  0.5000  8 F 2.68
F  0.2500  0.2500  0.2500  4 K 2.68, 4 Au 2.68
F  0.7500  0.7500  0.7500  4 K 2.68, 4 Au 2.68